This record from the Alexandria database describes YOsO2 after structural relaxation. The functional is PBE.

a b c (Å): 4.2853 4.2853 12.5010
angles (deg): 90.00 90.00 90.00
Closest atoms and distances in Å follow each position.
Space group I-42d (No. 122)
Unique sites:
Y 0.0000 0.0000 0.0000  4 O 2.29
Os 0.0000 0.0000 0.5000  4 O 2.08
O 0.1993 0.2500 0.6250  2 Os 2.08, 2 Y 2.29

Properties
**Formation energy without anion corrections**: -4.9 eV per formula unit
**Offset from the most stable computed form**: 319 meV per atom
**Calculated volume**: 14.3 Å³/atom